[1]
Material: BaSr6Ac2
Method: DFT, PBE-GGA
State: relaxed

## Properties
Energy   -2.180 eV per atom
Formation energy from the elements   0.07 eV/atom
Mass density   3.932 g/cm³

Cell: 4.1560 4.1560 31.5393 Å, 90.00 90.00 120.00°
Space group P-6m2 (No. 187)
One atom of each set of equivalent atoms:
Ba (0.0000, 0.0000, 0.0000)
Sr (0.0000, 0.0000, 0.2259)
Sr (0.0000, 0.0000, 0.4366)
Sr (0.3333, 0.6667, 0.1145)
Ac (0.3333, 0.6667, 0.3312)

---

[2]
Material: CsPm2I7
Method: DFT, PBE-GGA
State: relaxed

## Properties
Energy   -3.528 eV per atom
Formation energy without anion corrections   -1407.3 meV per atom
Mass density   4.400 g/cm³

Cell: 9.945 16.053 6.199 Å, 90.00 90.00 90.00°
Space group Cmmm (No. 65)
One atom of each set of equivalent atoms:
Cs (0.000, 0.000, 0.000)
Pm (0.000, 0.302, 0.500)
I (0.000, 0.296, 0.000)
I (0.000, 0.500, 0.500)
I (0.188, 0.139, 0.500)

---

[3]
Material: Co2PBr
Method: DFT, PBE-GGA
State: relaxed

## Properties
Energy   -5.263 eV per atom
Formation energy without anion corrections   61.1 meV per atom
Mass density   4.942 g/cm³

Cell: 3.5976 3.5976 20.5704 Å, 90.00 90.00 120.00°
Space group R3m (No. 160, hexagonal axes)
One atom of each set of equivalent atoms:
Co (0.0000, 0.0000, 0.0000)
Co (0.0000, 0.0000, 0.2776)
P (0.0000, 0.0000, 0.5856)
Br (0.0000, 0.0000, 0.7422)

---

[4]
Material: NaBeSiO4
Method: DFT, PBE-GGA
State: relaxed

## Properties
Energy   -6.586 eV per atom
Formation energy without anion corrections   -2257.3 meV per atom
Mass density   2.313 g/cm³

Cell: 4.856 4.856 7.555 Å, 90.00 90.00 90.00°
Space group I-4 (No. 82)
One atom of each set of equivalent atoms:
Na (0.000, 0.000, 0.000)
Be (0.000, 0.500, 0.750)
Si (0.000, 0.000, 0.500)
O (0.108, 0.257, 0.621)

---

[5]
Material: EuHoCuHg
Method: DFT, PBE-GGA
State: relaxed

## Properties
Energy   -5.085 eV per atom
Formation energy from the elements   -0.27 eV/atom
Mass density   9.686 g/cm³

Cell: 7.359 7.359 7.359 Å, 90.00 90.00 90.00°
Space group F-43m (No. 216)
One atom of each set of equivalent atoms:
Eu (0.000, 0.000, 0.000)
Ho (0.000, 0.000, 0.500)
Cu (0.250, 0.250, 0.750)
Hg (0.250, 0.250, 0.250)